# 1
A plane-wave DFT calculation with PBE was carried out for a relaxed Tm3Se3S crystal.

Computed properties:
Distance to the lowest polymorph of the same formula, eV/atom: 0.0000
Theoretical density, g/cm³: 6.14
Raw formation energy, kJ/mol of formula units: -1140

Geometry as POSCAR:
```
Tm3Se3S
1.0
4.6331 -8.0210 0.0000
4.6331 8.0210 0.0000
0.0000 0.0000 5.6455
Tm Se S
6 6 2
Cartesian
4.6331 5.2711 4.2341
2.3885 1.3749 4.2341
2.3885 -1.3749 1.4114
6.8777 1.3749 4.2341
6.8777 -1.3749 1.4114
4.6331 -5.2711 1.4114
4.6331 5.2624 1.4114
2.3976 1.3799 1.4114
2.3976 -1.3799 4.2341
6.8686 1.3799 1.4114
6.8686 -1.3799 4.2341
4.6331 -5.2624 4.2341
4.6331 2.6768 4.2341
4.6331 -2.6768 1.4114
```

# 2
A plane-wave DFT calculation with PBE was carried out for a relaxed Tm3SeS3 crystal.

Computed properties:
Distance to the lowest polymorph of the same formula, eV/atom: 0.0000
Theoretical density, g/cm³: 6.67
Raw formation energy, kJ/mol of formula units: -1333

Geometry as POSCAR:
```
Tm3SeS3
1.0
-5.5381 5.5381 5.5381
5.5381 -5.5381 5.5381
5.5381 5.5381 -5.5381
Tm Se S
12 4 12
Cartesian
4.2663 -1.3845 4.0409
9.5790 1.2718 1.3845
4.0409 4.2663 -1.3845
4.2663 1.3845 1.4972
1.4972 4.2663 1.3845
6.8099 4.1536 1.4972
1.3845 1.4972 4.2663
-1.3845 4.0409 4.2663
4.1536 1.4972 6.8099
1.3845 9.5790 1.2718
1.4972 6.8099 4.1536
1.2718 1.3845 9.5790
4.1536 1.3845 -1.3845
1.3845 1.3845 1.3845
1.3845 -1.3845 4.1536
-1.3845 4.1536 1.3845
4.2172 4.1536 -4.0899
4.0899 -1.3209 1.3845
4.1536 -4.0899 4.2172
1.3845 4.0899 -1.3209
6.9226 1.4482 1.3209
4.1536 4.0899 1.3209
-1.3209 1.3845 4.0899
4.0899 1.3209 4.1536
1.3209 4.1536 4.0899
1.4482 1.3209 6.9226
-4.0899 4.2172 4.1536
1.3209 6.9226 1.4482
```

# 3
A plane-wave DFT calculation with PBE was carried out for a relaxed TmSeS crystal.

Computed properties:
Distance to the lowest polymorph of the same formula, eV/atom: 0.0000
Theoretical density, g/cm³: 6.86
Raw formation energy, kJ/mol of formula units: -477

Geometry as POSCAR:
```
TmSeS
1.0
-1.9452 2.6428 6.5890
1.9452 -2.6428 6.5890
1.9452 2.6428 -6.5890
Tm Se S
2 2 2
Cartesian
0.0000 0.0000 2.0029
0.0000 0.0000 11.1750
1.9452 1.3264 0.0000
0.0000 1.3164 6.5890
1.9452 0.0000 3.7820
0.0000 2.6428 2.8070
```

# 4
A plane-wave DFT calculation with PBE was carried out for a relaxed Tm4ZnSeS2 crystal.

Computed properties:
Theoretical density, g/cm³: 8.43
Raw formation energy, kJ/mol of formula units: -1112

Geometry as POSCAR:
```
Tm4ZnSeS2
1.0
6.9099 0.0000 0.0000
0.0000 3.8422 0.0000
-2.1608 0.0000 6.5638
Tm Zn Se S
4 1 1 2
Cartesian
1.1299 0.0000 1.5703
0.0898 1.9211 4.9621
4.6593 1.9211 1.6017
3.6191 0.0000 4.9935
-1.0804 0.0000 3.2819
2.3745 1.9211 3.2819
0.0000 1.9211 0.0000
3.4549 0.0000 0.0000
```

# 5
A plane-wave DFT calculation with PBE was carried out for a relaxed Tm8Zn3Se4S crystal.

Computed properties:
Theoretical density, g/cm³: 8.51
Raw formation energy, kJ/mol of formula units: -1791

Geometry as POSCAR:
```
Tm8Zn3Se4S
1.0
3.9442 2.2772 6.8609
-3.9442 2.2772 6.8609
0.0000 -4.5543 6.8609
Tm Zn Se S
8 3 4 1
Cartesian
0.0000 0.0000 5.1547
-1.9571 -1.1299 11.9538
0.0000 -2.2598 8.6290
-1.9570 1.1299 8.6290
1.9571 -1.1299 11.9538
0.0000 2.2598 11.9538
1.9570 1.1299 8.6290
0.0000 0.0000 15.4281
-3.9442 0.0000 10.2914
-1.9721 1.1386 3.4305
1.9721 1.1386 3.4305
0.0000 0.0000 0.0000
-1.9721 -1.1386 6.8609
-1.9721 1.1386 13.7218
0.0000 2.2772 6.8609
0.0000 0.0000 10.2914
```

# 6
A plane-wave DFT calculation with PBE was carried out for a relaxed Tm6ZnSe2S3 crystal.

Computed properties:
Theoretical density, g/cm³: 8.48
Raw formation energy, kJ/mol of formula units: -1823

Geometry as POSCAR:
```
Tm6ZnSe2S3
1.0
3.4372 -5.9388 0.0000
3.4372 5.9388 0.0000
-2.2816 0.0000 6.3945
Tm Zn Se S
6 1 2 3
Cartesian
-0.0255 1.9237 4.8366
1.0745 0.0000 1.5361
-0.0255 -1.9237 4.8366
4.6183 1.9237 1.5579
3.5183 0.0000 4.8584
4.6183 -1.9237 1.5579
-1.1408 0.0000 3.1973
2.2964 1.9616 3.1973
2.2964 -1.9616 3.1973
3.4372 3.8860 0.0000
3.4372 0.0000 0.0000
3.4372 -3.8860 0.0000
```

# 7
A plane-wave DFT calculation with PBE was carried out for a relaxed Tm6ZnSe3S2 crystal.

Computed properties:
Theoretical density, g/cm³: 8.55
Raw formation energy, kJ/mol of formula units: -1795

Geometry as POSCAR:
```
Tm6ZnSe3S2
1.0
3.4355 -5.9430 0.0000
3.4355 5.9430 0.0000
-2.2801 0.0000 6.5645
Tm Zn Se S
6 1 3 2
Cartesian
1.1385 1.9715 1.5272
-0.0053 0.0000 5.0368
1.1385 -1.9715 1.5272
3.4524 1.9715 5.0373
4.5962 0.0000 1.5277
3.4524 -1.9715 5.0373
0.0000 0.0000 0.0000
2.2955 3.9324 3.2823
2.2955 0.0000 3.2823
2.2955 -3.9324 3.2823
3.4355 1.9720 0.0000
3.4355 -1.9720 0.0000
```

# 8
A plane-wave DFT calculation with PBE was carried out for a relaxed Tm8ZnSe4S3 crystal.

Computed properties:
Theoretical density, g/cm³: 8.60
Raw formation energy, kJ/mol of formula units: -2479

Geometry as POSCAR:
```
Tm8ZnSe4S3
1.0
3.9430 2.2765 6.5553
-3.9430 2.2765 6.5553
0.0000 -4.5530 6.5553
Tm Zn Se S
8 1 4 3
Cartesian
0.0000 0.0000 4.7586
-1.9649 -1.1344 11.3524
0.0000 -2.2689 8.3135
-1.9649 1.1344 8.3135
1.9649 -1.1344 11.3524
0.0000 2.2689 11.3524
1.9649 1.1344 8.3135
0.0000 0.0000 14.9073
0.0000 0.0000 9.8329
0.0000 0.0000 0.0000
-1.9715 -1.1382 6.5553
-1.9715 1.1382 13.1106
0.0000 2.2765 6.5553
-3.9430 0.0000 9.8329
-1.9715 1.1382 3.2776
1.9715 1.1382 3.2776
```

# 9
A plane-wave DFT calculation with PBE was carried out for a relaxed TmZrSeS crystal.

Computed properties:
Theoretical density, g/cm³: 7.48
Raw formation energy, kJ/mol of formula units: -565

Geometry as POSCAR:
```
TmZrSeS
1.0
1.8191 1.0502 7.1915
-1.8191 1.0502 7.1915
0.0000 -2.1005 7.1915
Tm Zr Se S
1 1 1 1
Cartesian
0.0000 0.0000 0.0000
0.0000 0.0000 18.1227
0.0000 0.0000 9.1250
0.0000 0.0000 5.4094
```

# 10
A plane-wave DFT calculation with PBE was carried out for a relaxed U4Se3S2 crystal.

Computed properties:
Theoretical density, g/cm³: 10.42
Raw formation energy, kJ/mol of formula units: -883

Geometry as POSCAR:
```
U4Se3S2
1.0
6.5846 -1.8706 0.0000
6.5846 1.8706 0.0000
-4.3636 0.0000 8.1078
U Se S
4 3 2
Cartesian
-0.6285 0.0000 3.3235
-0.2517 0.0000 7.8171
9.0573 0.0000 0.2907
9.4341 0.0000 4.7843
0.0000 0.0000 0.0000
3.8389 0.0000 2.5623
4.9667 0.0000 5.5455
1.0929 0.0000 5.4314
7.7126 0.0000 2.6764
```

# 11
A plane-wave DFT calculation with PBE was carried out for a relaxed U5Se5S crystal.

Computed properties:
Theoretical density, g/cm³: 9.93
Raw formation energy, kJ/mol of formula units: -1149

Geometry as POSCAR:
```
U5Se5S
1.0
6.3155 -2.8273 0.0000
6.3155 2.8273 0.0000
-2.5950 0.0000 7.5734
U Se S
5 5 1
Cartesian
0.0000 0.0000 0.0000
3.8417 0.0000 1.1752
2.5260 0.0000 5.1432
7.5100 0.0000 2.4302
6.1942 0.0000 6.3982
-0.1288 0.0000 6.1534
1.2356 0.0000 2.5831
5.0180 0.0000 3.7867
8.8003 0.0000 4.9903
10.1647 0.0000 1.4200
6.3155 0.0000 0.0000
```

# 12
A plane-wave DFT calculation with PBE was carried out for a relaxed U5Se4S crystal.

Computed properties:
Theoretical density, g/cm³: 11.06
Raw formation energy, kJ/mol of formula units: -1005

Geometry as POSCAR:
```
U5Se4S
1.0
-2.0126 2.0126 14.2513
2.0126 -2.0126 14.2513
2.0126 2.0126 -14.2513
U Se S
5 4 1
Cartesian
0.0000 0.0000 0.0000
0.0000 0.0000 5.7112
0.0000 0.0000 11.5113
0.0000 0.0000 16.9913
0.0000 0.0000 22.7914
0.0000 0.0000 2.8400
0.0000 0.0000 8.5939
0.0000 0.0000 19.9088
0.0000 0.0000 25.6626
0.0000 0.0000 14.2513
```